# 1
The following is a DFT calculation (PBE) of crystalline ZrMoC2 at its relaxed geometry.

Properties
final energy: -9.008 eV/atom
ΔE_f: 0.449 eV/atom
relative energy among the computed polymorphs: 811 meV per atom

Lattice parameters (Å, degrees): 3.1617 3.1617 6.1485 90.00 90.00 120.60
Sites, in units of the cell vectors:
Mo  0.5000  0.5000  0.2500
C  0.0000  0.0000  0.0154
C  0.0000  0.0000  0.4846
Zr  0.5000  0.5000  0.7500

***

# 2
The following is a DFT calculation (PBE) of crystalline Rb2MgHgAu at its relaxed geometry.

Properties
final energy: -1.527 eV/atom
ΔE_f: -0.105 eV/atom

Lattice parameters (Å, degrees): 6.6128 6.6128 5.2761 90.00 90.00 90.00
Sites, in units of the cell vectors:
Mg  0.0000  0.0000  0.5000
Au  0.0000  0.0000  0.0000
Hg  0.5000  0.5000  0.5000
Rb  0.0000  0.5000  0.0000
Rb  0.5000  0.0000  0.0000

***

# 3
The following is a DFT calculation (PBE) of crystalline P2SICl at its relaxed geometry.

Properties
final energy: -2.168 eV/atom
E_form (uncorrected): 1501 meV/atom
relative energy among the computed polymorphs: 695 meV per atom

Lattice parameters (Å, degrees): 5.3165 5.3165 5.1981 90.00 90.00 90.00
Sites, in units of the cell vectors:
I  0.0000  0.0000  0.0000
P  0.0000  0.5000  0.0000
P  0.5000  0.0000  0.0000
S  0.5000  0.5000  0.5000
Cl  0.0000  0.0000  0.5000

***

# 4
The following is a DFT calculation (PBE) of crystalline LaInBr3 at its relaxed geometry.

Properties
final energy: -3.737 eV/atom
E_form (uncorrected): -1200 meV/atom

Lattice parameters (Å, degrees): 5.8935 5.8935 5.8935 90.00 90.00 90.00
Sites, in units of the cell vectors:
In  0.5000  0.5000  0.5000
Br  0.0000  0.5000  0.0000
Br  0.0000  0.0000  0.5000
Br  0.5000  0.0000  0.0000
La  0.0000  0.0000  0.0000

***

# 5
The following is a DFT calculation (PBE) of crystalline Dy3Ho4Tl2 at its relaxed geometry.

Properties
final energy: -4.208 eV/atom
ΔE_f: -0.114 eV/atom

Lattice parameters (Å, degrees): 4.9131 7.6031 7.9120 107.97 108.09 90.00
Sites, in units of the cell vectors:
Dy  0.8860  0.3264  0.7721
Dy  0.1140  0.6736  0.2279
Dy  0.0000  0.0000  0.0000
Ho  0.5561  0.3316  0.1122
Ho  0.7788  0.6827  0.5575
Ho  0.4439  0.6684  0.8878
Ho  0.2212  0.3173  0.4425
Tl  0.3427  0.0013  0.6854
Tl  0.6573  0.9987  0.3146

***

# 6
The following is a DFT calculation (PBE) of crystalline Ti3TeCl at its relaxed geometry.

Properties
final energy: -5.768 eV/atom
E_form (uncorrected): -33 meV/atom
relative energy among the computed polymorphs: 0 meV per atom

Lattice parameters (Å, degrees): 4.5122 4.5122 4.5122 90.00 90.00 90.00
Sites, in units of the cell vectors:
Cl  0.0000  0.0000  0.0000
Te  0.5000  0.5000  0.5000
Ti  0.0000  0.5000  0.0000
Ti  0.0000  0.0000  0.5000
Ti  0.5000  0.0000  0.0000

***

# 7
The following is a DFT calculation (PBE) of crystalline ScIr2Os at its relaxed geometry.

Properties
final energy: -8.978 eV/atom
ΔE_f: -0.157 eV/atom
relative energy among the computed polymorphs: 235 meV per atom

Lattice parameters (Å, degrees): 5.6979 5.6979 5.6979 151.29 133.40 55.66
Sites, in units of the cell vectors:
Ir  0.9752  0.9752  0.0000
Ir  0.7444  0.2444  0.5000
Os  0.5279  0.5279  0.0000
Sc  0.2525  0.7525  0.5000

***

# 8
The following is a DFT calculation (PBE) of crystalline Pm3Tl5Bi12 at its relaxed geometry.

Properties
final energy: -3.703 eV/atom
ΔE_f: -0.070 eV/atom

Lattice parameters (Å, degrees): 16.5103 16.5103 16.5103 109.47 109.47 109.47
Sites, in units of the cell vectors:
Pm  0.7500  0.3750  0.1250
Pm  0.8750  0.7500  0.1250
Pm  0.3750  0.7500  0.6250
Pm  0.2500  0.1250  0.3750
Pm  0.8750  0.1250  0.2500
Pm  0.3750  0.6250  0.2500
Pm  0.6250  0.3750  0.7500
Pm  0.1250  0.8750  0.7500
Pm  0.7500  0.8750  0.6250
Pm  0.6250  0.2500  0.3750
Pm  0.1250  0.2500  0.8750
Pm  0.2500  0.6250  0.8750
Tl  0.1250  0.3750  0.2500
Tl  0.0000  0.5000  0.0000
Tl  0.0000  0.0000  0.0000
Tl  0.3750  0.2500  0.1250
Tl  0.5000  0.0000  0.5000
Tl  0.5000  0.5000  0.0000
Tl  0.1250  0.7500  0.3750
Tl  0.7500  0.1250  0.8750
Tl  0.7500  0.6250  0.3750
Tl  0.3750  0.1250  0.7500
Tl  0.6250  0.8750  0.2500
Tl  0.5000  0.5000  0.5000
Tl  0.5000  0.0000  0.0000
Tl  0.0000  0.0000  0.5000
Tl  0.2500  0.3750  0.6250
Tl  0.2500  0.8750  0.1250
Tl  0.0000  0.5000  0.5000
Tl  0.8750  0.2500  0.6250
Tl  0.6250  0.7500  0.8750
Tl  0.8750  0.6250  0.7500
Bi  0.7435  0.1576  0.0798
Bi  0.3363  0.5798  0.4222
Bi  0.9202  0.3424  0.2565
Bi  0.5798  0.2435  0.1576
Bi  0.5860  0.7435  0.6637
Bi  0.9202  0.5778  0.1637
Bi  0.3363  0.7565  0.4140
Bi  0.0778  0.9140  0.1576
Bi  0.5778  0.9202  0.6637
Bi  0.7435  0.5860  0.1637
Bi  0.7565  0.4202  0.3424
Bi  0.8363  0.9222  0.0798
Bi  0.1576  0.7435  0.5798
Bi  0.3424  0.4222  0.0860
Bi  0.0860  0.9222  0.3424
Bi  0.4140  0.1576  0.5778
Bi  0.0860  0.1637  0.2435
Bi  0.4202  0.6637  0.0778
Bi  0.8363  0.9140  0.2565
Bi  0.1576  0.4140  0.0778
Bi  0.3424  0.9202  0.7565
Bi  0.5778  0.6576  0.4140
Bi  0.9222  0.8363  0.5798
Bi  0.7565  0.3363  0.9140
Bi  0.4222  0.3424  0.5860
Bi  0.0778  0.1637  0.4202
Bi  0.2435  0.6637  0.0860
Bi  0.1637  0.0860  0.7435
Bi  0.6576  0.0798  0.2435
Bi  0.8424  0.5860  0.9222
Bi  0.5798  0.3363  0.9222
Bi  0.5860  0.8424  0.4222
Bi  0.9140  0.8363  0.7565
Bi  0.9140  0.0778  0.6576
Bi  0.8424  0.2565  0.4202
Bi  0.1637  0.0778  0.9202
Bi  0.6576  0.5778  0.9140
Bi  0.4222  0.0798  0.3363
Bi  0.2565  0.4140  0.8363
Bi  0.2435  0.5798  0.6576
Bi  0.9222  0.0860  0.8424
Bi  0.6637  0.2435  0.5860
Bi  0.4202  0.7565  0.8424
Bi  0.0798  0.4222  0.8363
Bi  0.4140  0.2565  0.3363
Bi  0.0798  0.6576  0.7435
Bi  0.6637  0.4202  0.5778
Bi  0.2565  0.8424  0.9202

***

# 9
The following is a DFT calculation (PBE) of crystalline SmHo2UP4 at its relaxed geometry.

Properties
final energy: -7.286 eV/atom
ΔE_f: -1.436 eV/atom

Lattice parameters (Å, degrees): 3.9890 6.9336 6.9157 109.24 90.00 90.00
Sites, in units of the cell vectors:
Sm  0.5000  0.5000  0.0000
Ho  0.5000  0.0000  0.5000
Ho  0.0000  0.5000  0.5000
U  0.0000  0.0000  0.0000
P  0.5000  0.2433  0.2485
P  0.5000  0.7567  0.7515
P  0.0000  0.2406  0.7491
P  0.0000  0.7594  0.2509

***

# 10
The following is a DFT calculation (PBE) of crystalline Tm2CuSi4Rh3 at its relaxed geometry.

Properties
final energy: -6.562 eV/atom
E_form (uncorrected): -883 meV/atom

Lattice parameters (Å, degrees): 4.0581 4.0581 9.9424 90.00 90.00 90.00
Sites, in units of the cell vectors:
Tm  0.5000  0.0000  0.2466
Tm  0.0000  0.5000  0.7534
Cu  0.5000  0.5000  0.5000
Si  0.5000  0.5000  0.0000
Si  0.0000  0.0000  0.0000
Si  0.5000  0.0000  0.6330
Si  0.0000  0.5000  0.3670
Rh  0.0000  0.0000  0.5000
Rh  0.5000  0.0000  0.8705
Rh  0.0000  0.5000  0.1295

***

# 11
The following is a DFT calculation (PBE) of crystalline Y8Bi3SbTe4 at its relaxed geometry.

Properties
final energy: -6.166 eV/atom
E_form (uncorrected): -1163 meV/atom

Lattice parameters (Å, degrees): 8.8471 8.8182 8.8470 120.11 120.00 90.00
Sites, in units of the cell vectors:
Y  0.2454  0.7447  0.9992
Y  0.2454  0.7447  0.4909
Y  0.2504  0.2513  0.5009
Y  0.7538  0.7447  0.9992
Y  0.2462  0.2553  0.0008
Y  0.7496  0.7487  0.4991
Y  0.7546  0.2553  0.5091
Y  0.7546  0.2553  0.0008
Bi  0.5000  0.5000  0.0000
Bi  0.5000  0.5000  0.5000
Bi  0.0000  0.5000  0.5000
Sb  0.0000  0.5000  0.0000
Te  0.5000  0.0000  0.0000
Te  0.5000  0.0000  0.5000
Te  0.0000  0.0000  0.0000
Te  0.0000  0.0000  0.5000

***

# 12
The following is a DFT calculation (PBE) of crystalline ScCd2Ag8 at its relaxed geometry.

Properties
final energy: -2.903 eV/atom
ΔE_f: -0.088 eV/atom
relative energy among the computed polymorphs: 0 meV per atom

Lattice parameters (Å, degrees): 4.2816 6.6929 7.7806 106.38 105.97 90.00
Sites, in units of the cell vectors:
Sc  0.5000  0.0000  0.0000
Cd  0.2266  0.6445  0.4532
Cd  0.7734  0.3555  0.5468
Ag  0.5908  0.4568  0.1816
Ag  0.3190  0.0886  0.6381
Ag  0.1351  0.1835  0.2701
Ag  0.0441  0.7282  0.0882
Ag  0.8649  0.8165  0.7299
Ag  0.6810  0.9114  0.3619
Ag  0.4092  0.5432  0.8184
Ag  0.9559  0.2718  0.9118

***

# 13
The following is a DFT calculation (PBE) of crystalline DyEr2Pb2 at its relaxed geometry.

Properties
final energy: -4.413 eV/atom
ΔE_f: -0.184 eV/atom

Lattice parameters (Å, degrees): 4.5630 4.5630 7.8332 106.27 106.27 89.88
Sites, in units of the cell vectors:
Dy  0.0000  0.0000  0.0000
Er  0.2506  0.7494  0.5000
Er  0.7494  0.2506  0.5000
Pb  0.6092  0.6092  0.2021
Pb  0.3908  0.3908  0.7979

***

# 14
The following is a DFT calculation (PBE) of crystalline Ta2AlMo at its relaxed geometry.

Properties
final energy: -8.949 eV/atom
ΔE_f: 0.621 eV/atom

Lattice parameters (Å, degrees): 7.3443 7.3443 5.8757 51.32 51.32 90.00
Sites, in units of the cell vectors:
Mo  0.0000  0.0000  0.0000
Mo  0.7500  0.2500  0.5000
Al  0.5000  0.5000  0.0000
Al  0.2500  0.7500  0.5000
Ta  0.6474  0.1250  0.2500
Ta  0.1026  0.6250  0.2500
Ta  0.3750  0.3526  0.7500
Ta  0.8750  0.8974  0.7500

***

# 15
The following is a DFT calculation (PBE) of crystalline ScFe3Tc at its relaxed geometry.

Properties
final energy: -6.559 eV/atom
ΔE_f: 1.858 eV/atom
relative energy among the computed polymorphs: 932 meV per atom

Lattice parameters (Å, degrees): 4.1969 4.1969 4.1969 90.00 90.00 90.00
Sites, in units of the cell vectors:
Sc  0.0000  0.0000  0.0000
Tc  0.5000  0.5000  0.5000
Fe  0.0000  0.5000  0.0000
Fe  0.0000  0.0000  0.5000
Fe  0.5000  0.0000  0.0000

***

# 16
The following is a DFT calculation (PBE) of crystalline InFeTc3 at its relaxed geometry.

Properties
final energy: -7.393 eV/atom
ΔE_f: 1.067 eV/atom

Lattice parameters (Å, degrees): 4.4424 4.4424 4.4424 90.00 90.00 90.00
Sites, in units of the cell vectors:
Fe  0.0000  0.0000  0.0000
Tc  0.0000  0.5000  0.0000
Tc  0.0000  0.0000  0.5000
Tc  0.5000  0.0000  0.0000
In  0.5000  0.5000  0.5000

***

# 17
The following is a DFT calculation (PBE) of crystalline DyGe2Pt2 at its relaxed geometry.

Properties
final energy: -6.056 eV/atom
ΔE_f: -0.873 eV/atom

Lattice parameters (Å, degrees): 4.3096 4.3092 10.1465 90.05 90.00 90.00
Sites, in units of the cell vectors:
Ge  0.2542  0.7499  0.5000
Ge  0.7545  0.7517  0.8685
Ge  0.7542  0.2501  0.5000
Ge  0.2545  0.2483  0.1315
Pt  0.7545  0.2520  0.0000
Pt  0.2542  0.2497  0.3703
Pt  0.7542  0.7503  0.6297
Pt  0.2545  0.7480  0.0000
Dy  0.2543  0.2503  0.7534
Dy  0.7543  0.7497  0.2466

***

# 18
The following is a DFT calculation (PBE) of crystalline TlFe2Ag at its relaxed geometry.

Properties
final energy: -5.000 eV/atom
ΔE_f: 0.536 eV/atom
relative energy among the computed polymorphs: 177 meV per atom

Lattice parameters (Å, degrees): 4.5294 4.5294 4.5294 60.00 60.00 60.00
Sites, in units of the cell vectors:
Ag  0.5000  0.5000  0.5000
Fe  0.0000  0.0000  0.0000
Fe  0.2500  0.2500  0.2500
Tl  0.7500  0.7500  0.7500

***

# 19
The following is a DFT calculation (PBE) of crystalline NiOsBr2 at its relaxed geometry.

Properties
final energy: -3.970 eV/atom
E_form (uncorrected): 1119 meV/atom
relative energy among the computed polymorphs: 672 meV per atom

Lattice parameters (Å, degrees): 5.3082 5.3082 5.3082 146.53 112.29 77.67
Sites, in units of the cell vectors:
Br  0.0028  0.0028  0.0000
Br  0.4972  0.4972  0.0000
Ni  0.7500  0.2500  0.5000
Os  0.2500  0.7500  0.5000

***

# 20
The following is a DFT calculation (PBE) of crystalline BeCr2Au at its relaxed geometry.

Properties
final energy: -6.501 eV/atom
ΔE_f: 0.061 eV/atom
relative energy among the computed polymorphs: 0 meV per atom

Lattice parameters (Å, degrees): 2.9847 2.9847 5.7159 90.00 90.00 90.00
Sites, in units of the cell vectors:
Cr  0.0000  0.0000  0.0057
Cr  0.5000  0.5000  0.1982
Au  0.0000  0.0000  0.5302
Be  0.5000  0.5000  0.7659

***

# 21
The following is a DFT calculation (PBE) of crystalline CsPrMgI6 at its relaxed geometry.

Properties
final energy: -3.159 eV/atom
E_form (uncorrected): -1323 meV/atom

Lattice parameters (Å, degrees): 7.9281 7.9281 8.6889 90.00 90.00 59.98
Sites, in units of the cell vectors:
Cs  0.0000  0.0000  0.0000
Pr  0.6666  0.6666  0.5000
Mg  0.3333  0.3333  0.5000
I  0.0184  0.3635  0.2968
I  0.3634  0.0184  0.7032
I  0.6181  0.3635  0.7032
I  0.0182  0.6183  0.7032
I  0.3635  0.6181  0.2968
I  0.6183  0.0182  0.2968

***

# 22
The following is a DFT calculation (PBE) of crystalline Rb2GaI at its relaxed geometry.

Properties
final energy: -1.966 eV/atom
E_form (uncorrected): -338 meV/atom

Lattice parameters (Å, degrees): 9.9202 9.9202 8.1532 52.53 52.53 90.00
Sites, in units of the cell vectors:
I  0.0000  0.0000  0.0000
I  0.7500  0.2500  0.5000
Ga  0.5000  0.5000  0.0000
Ga  0.2500  0.7500  0.5000
Rb  0.6357  0.1250  0.2500
Rb  0.1143  0.6250  0.2500
Rb  0.3750  0.3643  0.7500
Rb  0.8750  0.8857  0.7500